TlIrI2N | SCAN | PBEsol geometry

abc: 3.7297 5.7247 5.7247
angles: 90.00 90.00 90.00
Atoms (fractional coordinates):
I: 0.0000 0.0000 0.5000
I: 0.0000 0.5000 0.0000
Tl: 0.5000 0.5000 0.5000
Ir: 0.0000 0.0000 0.0000
N: 0.5000 0.0000 0.0000

## Properties
Total magnetic moment (μB per atom): 0.00
E (eV per atom): -45.129
DOS(E_F) (states/eV/f.u.): 1.58
Uncorrected formation energy (meV/atom): 117
SG: P4/mmm, No. 123

Na3IrI | SCAN | PBEsol geometry

abc: 5.5902 5.5902 5.5902
angles: 90.00 90.00 90.00
Last column: magnetic moment on the atom in μB.
Atoms (fractional coordinates):
I: 0.0000 0.0000 0.0000  -0.01
Na: 0.0000 0.5000 0.0000  -0.01
Na: 0.0000 0.0000 0.5000  -0.01
Na: 0.5000 0.0000 0.0000  -0.01
Ir: 0.5000 0.5000 0.5000  1.26

## Properties
Total magnetic moment (μB per atom): 0.22
E (eV per atom): -23.547
DOS(E_F) (states/eV/f.u.): 4.73
Uncorrected formation energy (meV/atom): 550
SG: Pm-3m, No. 221

NaIrPbI2 | SCAN | PBEsol geometry

abc: 5.0882 5.6428 5.6428
angles: 90.00 90.00 90.00
Atoms (fractional coordinates):
Pb: 0.5000 0.0000 0.0000
I: 0.0000 0.0000 0.5000
I: 0.0000 0.5000 0.0000
Ir: 0.0000 0.0000 0.0000
Na: 0.5000 0.5000 0.5000

## Properties
Total magnetic moment (μB per atom): 0.00
E (eV per atom): -44.944
DOS(E_F) (states/eV/f.u.): 2.36
Uncorrected formation energy (meV/atom): -28
SG: P4/mmm, No. 123

NbIr3I | SCAN | PBEsol geometry

abc: 4.7454 4.7454 4.7454
angles: 90.00 90.00 90.00
Last column: magnetic moment on the atom in μB.
Atoms (fractional coordinates):
I: 0.0000 0.0000 0.0000  0.02
Nb: 0.5000 0.5000 0.5000  1.61
Ir: 0.0000 0.5000 0.0000  -0.42
Ir: 0.0000 0.0000 0.5000  -0.42
Ir: 0.5000 0.0000 0.0000  -0.42

## Properties
Total magnetic moment (μB per atom): 0.18
E (eV per atom): -54.520
DOS(E_F) (states/eV/f.u.): 5.30
Uncorrected formation energy (meV/atom): 2114
SG: Pm-3m, No. 221

NbIrI2 | SCAN | PBEsol geometry

abc: 6.2608 6.2608 7.1218
angles: 116.08 116.08 90.00
Last column: magnetic moment on the atom in μB.
Atoms (fractional coordinates):
I: 0.8909 0.3750 0.2500  -0.04
I: 0.3591 0.8750 0.2500  -0.04
I: 0.6250 0.6409 0.7500  -0.04
I: 0.1250 0.1091 0.7500  -0.04
Nb: 0.7500 0.2500 0.5000  1.36
Nb: 0.5000 0.5000 0.0000  1.36
Ir: 0.2500 0.7500 0.5000  -0.20
Ir: 0.0000 0.0000 0.0000  -0.20

## Properties
Total magnetic moment (μB per atom): 0.37
E (eV per atom): -43.432
DOS(E_F) (states/eV/f.u.): 2.89
Uncorrected formation energy (meV/atom): 996
SG: I-42d, No. 122

NbIrI2O | SCAN | PBEsol geometry

abc: 3.6877 5.4882 5.4882
angles: 90.00 90.00 90.00
Last column: magnetic moment on the atom in μB.
Atoms (fractional coordinates):
I: 0.0000 0.0000 0.5000  -0.07
I: 0.0000 0.5000 0.0000  -0.07
Nb: 0.5000 0.5000 0.5000  2.65
Ir: 0.0000 0.0000 0.0000  0.01
O: 0.5000 0.0000 0.0000  0.02

## Properties
Total magnetic moment (μB per atom): 0.71
E (eV per atom): -36.425
DOS(E_F) (states/eV/f.u.): 3.04
Uncorrected formation energy (meV/atom): 364
SG: P4/mmm, No. 123

NbIr2RuI | SCAN | PBEsol geometry

abc: 4.7261 4.7261 4.8971
angles: 90.00 90.00 90.00
Last column: magnetic moment on the atom in μB.
Atoms (fractional coordinates):
I: 0.0000 0.0000 0.0000  0.01
Ru: 0.5000 0.5000 0.5000  2.63
Nb: 0.0000 0.0000 0.5000  -0.34
Ir: 0.0000 0.5000 0.0000  0.04
Ir: 0.5000 0.0000 0.0000  0.04

## Properties
Total magnetic moment (μB per atom): 0.45
E (eV per atom): -47.086
DOS(E_F) (states/eV/f.u.): 4.72
Uncorrected formation energy (meV/atom): 2294
SG: P4/mmm, No. 123

NbSbIrI2 | SCAN | PBEsol geometry

abc: 4.9555 5.3773 5.3773
angles: 90.00 90.00 90.00
Last column: magnetic moment on the atom in μB.
Atoms (fractional coordinates):
I: 0.0000 0.0000 0.5000  -0.05
I: 0.0000 0.5000 0.0000  -0.05
Sb: 0.5000 0.0000 0.0000  -0.03
Nb: 0.5000 0.5000 0.5000  2.72
Ir: 0.0000 0.0000 0.0000  0.08

## Properties
Total magnetic moment (μB per atom): 0.75
E (eV per atom): -41.996
DOS(E_F) (states/eV/f.u.): 4.08
Uncorrected formation energy (meV/atom): 999
SG: P4/mmm, No. 123

NbTe2IrI | SCAN | PBEsol geometry

abc: 5.1278 5.1278 5.2445
angles: 90.00 90.00 90.00
Last column: magnetic moment on the atom in μB.
Atoms (fractional coordinates):
I: 0.0000 0.0000 0.5000  -0.12
Nb: 0.5000 0.5000 0.5000  2.50
Ir: 0.0000 0.0000 0.0000  -0.27
Te: 0.0000 0.5000 0.0000  -0.34
Te: 0.5000 0.0000 0.0000  -0.34

## Properties
Total magnetic moment (μB per atom): 0.39
E (eV per atom): -42.229
DOS(E_F) (states/eV/f.u.): 3.75
Uncorrected formation energy (meV/atom): 866
SG: P4/mmm, No. 123

Ni3IrI | SCAN | PBEsol geometry

abc: 4.5439 4.5439 4.5439
angles: 90.00 90.00 90.00
Last column: magnetic moment on the atom in μB.
Atoms (fractional coordinates):
I: 0.5000 0.5000 0.5000  0.13
Ni: 0.0000 0.5000 0.0000  0.98
Ni: 0.0000 0.0000 0.5000  0.98
Ni: 0.5000 0.0000 0.0000  0.98
Ir: 0.0000 0.0000 0.0000  0.94

## Properties
Total magnetic moment (μB per atom): 0.77
E (eV per atom): -30.075
DOS(E_F) (states/eV/f.u.): 5.17
Uncorrected formation energy (meV/atom): 1197
SG: Pm-3m, No. 221

NiIrPt2I | SCAN | PBEsol geometry

abc: 4.3915 4.8211 4.8211
angles: 90.00 90.00 90.00
Last column: magnetic moment on the atom in μB.
Atoms (fractional coordinates):
I: 0.0000 0.0000 0.0000  0.00
Ni: 0.5000 0.0000 0.0000  0.12
Ir: 0.5000 0.5000 0.5000  1.50
Pt: 0.0000 0.0000 0.5000  0.04
Pt: 0.0000 0.5000 0.0000  0.04

## Properties
Total magnetic moment (μB per atom): 0.33
E (eV per atom): -51.073
DOS(E_F) (states/eV/f.u.): 3.19
Uncorrected formation energy (meV/atom): 1807
SG: P4/mmm, No. 123

IrOsI2O | SCAN | PBEsol geometry

abc: 3.6217 5.3063 5.3063
angles: 90.00 90.00 90.00
Last column: magnetic moment on the atom in μB.
Atoms (fractional coordinates):
I: 0.0000 0.0000 0.5000  0.03
I: 0.0000 0.5000 0.0000  0.03
Ir: 0.5000 0.5000 0.5000  0.67
Os: 0.0000 0.0000 0.0000  0.01
O: 0.5000 0.0000 0.0000  0.00

## Properties
Total magnetic moment (μB per atom): 0.15
E (eV per atom): -43.651
DOS(E_F) (states/eV/f.u.): 3.85
Uncorrected formation energy (meV/atom): 888
SG: P4/mmm, No. 123

What is the uncorrected formation energy in the ninth record? 866 meV/atom

Number 4 is which compound? NbIr3I